Below is an optimized crystal structure of ReNi2Se, with properties calculated at the PBE level.

a = 7.947 Å, b = 7.947 Å, c = 7.947 Å
α = 20.75°, β = 20.75°, γ = 20.75°
Each line ends with the local moment (μB).
Atoms (fractional coordinates):
1 Ni 0.001 0.001 0.001  0.02
2 Ni 0.251 0.251 0.251  0.13
3 Re 0.500 0.500 0.500  0.00
4 Se 0.748 0.748 0.748  0.00

Calculated values
The value obtained for the formation energy (no corrections) is 1.43 eV/f.u. Its space-group type is R3m, No. 160. The electronic total energy is -6.5171 eV/atom.

---

Below is an optimized crystal structure of Rb2HfAuSe4, with properties calculated at the PBE level.

a = 6.200 Å, b = 7.757 Å, c = 13.127 Å
α = 84.59°, β = 76.34°, γ = 66.44°
Atoms (fractional coordinates):
1 Rb 0.180 0.000 0.640
2 Rb 0.820 0.000 0.360
3 Rb 0.570 0.500 0.860
4 Rb 0.930 0.500 0.140
5 Hf 0.750 0.500 0.500
6 Hf 0.000 0.000 0.000
7 Au 0.250 0.500 0.500
8 Au 0.500 0.000 0.000
9 Se 0.282 0.794 0.113
10 Se 0.189 0.206 0.887
11 Se 0.924 0.794 0.887
12 Se 0.605 0.206 0.113
13 Se 0.468 0.706 0.387
14 Se 0.561 0.294 0.613
15 Se 0.826 0.706 0.613
16 Se 0.145 0.294 0.387

Calculated values
The value obtained for the formation energy (no corrections) is -7.66 eV/f.u. Its space-group type is Fddd, No. 70. The electronic total energy is -4.5955 eV/atom.

---

Below is an optimized crystal structure of Mg3Mo, with properties calculated at the PBE level.

a = 2.871 Å, b = 2.871 Å, c = 9.595 Å
α = 90.00°, β = 90.00°, γ = 103.45°
Atoms (fractional coordinates):
1 Mg 0.000 0.000 0.500
2 Mg 0.500 0.500 0.230
3 Mg 0.500 0.500 0.770
4 Mo 0.000 0.000 0.000

Calculated values
The calculation puts the formation energy at 0.22 eV/atom. Its space-group type is Cmmm, No. 65. The distance to the lowest polymorph of the same formula comes out at 20 meV per atom. The electronic total energy is -3.6872 eV/atom.

---

Below is an optimized crystal structure of ZrTi3, with properties calculated at the PBE level.

a = 3.036 Å, b = 5.197 Å, c = 5.651 Å
α = 117.38°, β = 105.58°, γ = 90.00°
Atoms (fractional coordinates):
1 Zr 0.000 0.991 0.000
2 Ti 0.245 0.582 0.490
3 Ti 0.500 0.502 0.000
4 Ti 0.755 0.092 0.510

Calculated values
The calculation puts the formation energy at 0.05 eV/atom. Its space-group type is Imm2, No. 44. The electronic total energy is -8.0036 eV/atom.

---

Below is an optimized crystal structure of Sm4Ni3Ru, with properties calculated at the PBE level.

a = 3.937 Å, b = 4.119 Å, c = 10.665 Å
α = 90.00°, β = 90.00°, γ = 90.00°
Atoms (fractional coordinates):
1 Ni 0.000 0.500 0.569
2 Ni 0.000 0.000 0.437
3 Ni 0.500 0.000 0.922
4 Sm 0.500 0.500 0.357
5 Sm 0.000 0.500 0.861
6 Sm 0.000 0.000 0.142
7 Sm 0.500 0.000 0.640
8 Ru 0.500 0.500 0.072

Calculated values
The calculation puts the formation energy at -0.32 eV/atom. Its space-group type is Pmm2, No. 25. The electronic total energy is -6.0112 eV/atom.

---

Below is an optimized crystal structure of Rb2NpTl2O6, with properties calculated at the PBE level.

a = 6.818 Å, b = 6.818 Å, c = 6.500 Å
α = 100.17°, β = 100.17°, γ = 116.25°
Atoms (fractional coordinates):
1 Rb 0.343 0.657 0.500
2 Rb 0.657 0.343 0.500
3 Np 0.000 0.000 0.500
4 Tl 0.851 0.149 0.000
5 Tl 0.149 0.851 0.000
6 O 0.846 0.846 0.752
7 O 0.056 0.297 0.659
8 O 0.154 0.154 0.248
9 O 0.297 0.056 0.659
10 O 0.944 0.703 0.341
11 O 0.703 0.944 0.341

Calculated values
The value obtained for the formation energy (no corrections) is -18.75 eV/f.u. Its space-group type is C2/m, No. 12. The electronic total energy is -6.1912 eV/atom.

---

Below is an optimized crystal structure of LaTcTe2, with properties calculated at the PBE level.

a = 8.578 Å, b = 4.211 Å, c = 13.181 Å
α = 90.00°, β = 91.04°, γ = 90.00°
Atoms (fractional coordinates):
1 Te 0.650 0.000 0.856
2 Te 0.650 0.500 0.356
3 Te 0.392 0.000 0.149
4 Te 0.392 0.500 0.649
5 Te 0.148 0.000 0.856
6 Te 0.148 0.500 0.356
7 Te 0.901 0.000 0.563
8 Te 0.901 0.500 0.063
9 Tc 0.684 0.000 0.065
10 Tc 0.684 0.500 0.565
11 Tc 0.610 0.000 0.648
12 Tc 0.610 0.500 0.148
13 La 0.904 0.000 0.261
14 La 0.904 0.500 0.761
15 La 0.393 0.000 0.450
16 La 0.393 0.500 0.950

Calculated values
The value obtained for the formation energy (no corrections) is -3.18 eV/f.u. Its space-group type is Cm, No. 8. The distance to the lowest polymorph of the same formula comes out at 0 meV per atom. The electronic total energy is -6.1883 eV/atom.

---

Below is an optimized crystal structure of BeTcHg2, with properties calculated at the PBE level.

a = 4.271 Å, b = 2.908 Å, c = 5.582 Å
α = 74.18°, β = 90.00°, γ = 90.00°
Each line ends with the local moment (μB).
Atoms (fractional coordinates):
1 Be 0.500 0.750 0.750  0.00
2 Hg 0.000 0.876 0.988  0.00
3 Hg 0.000 0.624 0.512  0.00
4 Tc 0.500 0.250 0.250  0.15

Calculated values
The calculation puts the formation energy at 0.67 eV/atom. Its space-group type is P2/m, No. 10. The electronic total energy is -3.0049 eV/atom.